BaLaZn2Fe | PBE | optimized geometry

Output
E_tot: -3.049 eV/atom
Formation energy from the elements: 0.523 eV per atom
Energy above the lowest structure with this stoichiometry: 556 meV per atom

a = 5.771 Å, b = 5.771 Å, c = 4.830 Å
α = 90.00°, β = 90.00°, γ = 90.00°
Space group P4/mmm (No. 123)
Symmetry-distinct sites (fractional):
Ba 0.000 0.000 0.000
La 0.500 0.500 0.500
Zn 0.000 0.500 0.500
Fe 0.500 0.500 0.000



ErSc4Al2 | PBE | optimized geometry

Output
E_tot: -5.600 eV/atom
Formation energy from the elements: -0.261 eV per atom
Energy above the lowest structure with this stoichiometry: 0 meV per atom

a = 4.9834 Å, b = 4.9834 Å, c = 21.9064 Å
α = 90.00°, β = 90.00°, γ = 120.00°
Space group R-3m (No. 166, hexagonal axes)
Symmetry-distinct sites (fractional):
Er 0.0000 0.0000 0.0000
Sc 0.0000 0.0000 0.1535
Sc 0.0000 0.0000 0.4234
Al 0.0000 0.0000 0.2821



Fe2NiRh | PBE | optimized geometry

Output
E_tot: -7.495 eV/atom
Formation energy from the elements: 0.020 eV per atom

a = 8.596 Å, b = 2.670 Å, c = 4.449 Å
α = 90.00°, β = 101.60°, γ = 90.00°
Space group C2/m (No. 12)
Symmetry-distinct sites (fractional):
Fe 0.245 0.000 0.239
Ni 0.000 0.500 0.000
Rh 0.000 0.000 0.500



TlSbIr2 | PBE | optimized geometry

Output
E_tot: -5.715 eV/atom
Energy above the lowest structure with this stoichiometry: 21 meV per atom
Formation energy from raw total energies: 337.5 meV/atom

a = 3.036 Å, b = 3.036 Å, c = 9.223 Å
α = 90.00°, β = 90.00°, γ = 90.00°
Space group P4mm (No. 99)
Symmetry-distinct sites (fractional):
Tl 0.000 0.000 0.000
Sb 0.500 0.500 0.617
Ir 0.000 0.000 0.426
Ir 0.500 0.500 0.236



DyErAlSi | PBE | optimized geometry

Output
E_tot: -5.229 eV/atom
Formation energy from raw total energies: -646.6 meV/atom

a = 3.969 Å, b = 4.315 Å, c = 10.769 Å
α = 90.00°, β = 90.00°, γ = 90.00°
Space group Amm2 (No. 38)
Symmetry-distinct sites (fractional):
Dy 0.000 0.000 0.000
Er 0.500 0.000 0.283
Al 0.500 0.000 0.570
Si 0.000 0.000 0.719



MoAs | PBE | optimized geometry

Output
E_tot: -7.307 eV/atom
Formation energy from the elements: 0.434 eV per atom

a = 4.5880 Å, b = 4.5880 Å, c = 7.5041 Å
α = 90.00°, β = 90.00°, γ = 120.00°
Space group P6_3/mmc (No. 194)
Symmetry-distinct sites (fractional):
Mo 0.3333 0.6667 0.0850
As 0.0000 0.0000 0.2500
As 0.3333 0.6667 0.7500



ZrRhSe2Br | PBE | optimized geometry

Output
E_tot: -4.825 eV/atom
Energy above the lowest structure with this stoichiometry: 0 meV per atom
Formation energy from raw total energies: 83.7 meV/atom

a = 5.221 Å, b = 5.221 Å, c = 5.243 Å
α = 90.00°, β = 90.00°, γ = 90.00°
Space group P4/mmm (No. 123)
Symmetry-distinct sites (fractional):
Zr 0.000 0.000 0.000
Rh 0.500 0.500 0.500
Se 0.000 0.500 0.000
Br 0.000 0.000 0.500



TlInCo2 | PBE | optimized geometry

Output
E_tot: -4.296 eV/atom
Formation energy from the elements: 0.533 eV per atom
Energy above the lowest structure with this stoichiometry: 210 meV per atom

a = 3.1130 Å, b = 3.1130 Å, c = 24.2399 Å
α = 90.00°, β = 90.00°, γ = 120.00°
Space group R-3m (No. 166, hexagonal axes)
Symmetry-distinct sites (fractional):
Tl 0.0000 0.0000 0.0000
In 0.0000 0.0000 0.5000
Co 0.0000 0.0000 0.2487